No. 1
A relaxed structure of SrPm2Cu, computed with PBE-GGA.

Output
* magnetization: 0.0 μB/f.u.
* DFT formation energy: 0.032 eV/atom
* SG: P4/mmm, No. 123
* energy above the most stable polymorph in this dataset: 0 meV per atom

Cell lengths 3.6948, 3.6948, 9.5967 Å; angles 90.00, 90.00, 90.00 degrees
Fractional coordinates of all 4 atoms:
Pm  0.0000  0.0000  0.8318
Sr  0.5000  0.5000  0.5000
Cu  0.5000  0.5000  0.0000
Pm  0.0000  0.0000  0.1682



No. 2
A relaxed structure of PmTaCu, computed with PBE-GGA.

Output
* magnetization: 0.0 μB/f.u.
* DFT formation energy: 0.213 eV/atom
* SG: P4/mmm, No. 123

Cell lengths 4.6622, 3.2969, 11.4023 Å; angles 90.00, 90.00, 135.00 degrees
Fractional coordinates of all 6 atoms:
Cu  0.6944  0.3888  0.0000
Ta  0.6944  0.3889  0.6241
Pm  0.1945  0.3889  0.8225
Ta  0.6944  0.3889  0.3759
Pm  0.1945  0.3889  0.1775
Cu  0.1944  0.3888  0.5000



No. 3
A relaxed structure of Tb5PmCu6, computed with PBE-GGA.

Output
* magnetization: 0.0 μB/f.u.
* DFT formation energy: -0.228 eV/atom
* SG: P2/m, No. 10

Cell lengths 4.9663, 6.9374, 7.8690 Å; angles 90.00, 71.38, 90.00 degrees
Fractional coordinates of all 12 atoms:
Tb  0.0000  0.5000  0.0000
Pm  0.0000  0.0000  0.0000
Cu  0.5000  0.7429  0.0000
Cu  0.8303  0.2522  0.3381
Tb  0.3337  0.5000  0.3322
Cu  0.1697  0.2522  0.6620
Cu  0.8303  0.7478  0.3380
Tb  0.6677  0.0000  0.6648
Cu  0.5000  0.2571  0.0000
Tb  0.3323  0.0000  0.3352
Cu  0.1697  0.7478  0.6619
Tb  0.6663  0.5000  0.6678



No. 4
A relaxed structure of TbPm2Cu, computed with PBE-GGA.

Output
* magnetization: 0.0 μB/f.u.
* DFT formation energy: -0.040 eV/atom
* SG: P2_1/m, No. 11
* energy above the most stable polymorph in this dataset: 33 meV per atom

Cell lengths 4.9676, 6.3619, 7.7239 Å; angles 90.00, 90.00, 112.95 degrees
Fractional coordinates of all 8 atoms:
Tb  0.9554  0.9115  0.2500
Pm  0.3544  0.7092  0.5303
Pm  0.6456  0.2908  0.0303
Pm  0.3544  0.7092  0.9697
Pm  0.6456  0.2908  0.4697
Cu  0.2013  0.4012  0.2500
Cu  0.7987  0.5988  0.7500
Tb  0.0446  0.0885  0.7500



Question: DFT formation energy of number 2 (PmTaCu)?
Answer: 0.213 eV/atom